1.
Compound: Fe3BiC
Source: Alexandria
Functional: SCAN
Structure: PBEsol geometry

abc: 3.8436 3.8436 3.8436
angles: 90.00 90.00 90.00
Fractional coordinates of all 5 atoms:
C: 0.0000 0.0000 0.0000
Bi: 0.5000 0.5000 0.5000
Fe: 0.0000 0.5000 0.0000
Fe: 0.0000 0.0000 0.5000
Fe: 0.5000 0.0000 0.0000

Results
DFT formation energy: 0.61 eV/atom
theoretical density: 11.4 g/cm³
symmetry: No. 221
energy: -28.01 eV per atom

2.
Compound: Ga3BiC
Source: Alexandria
Functional: SCAN
Structure: PBEsol geometry

abc: 5.6242 5.6242 5.6242
angles: 90.00 90.00 90.00
Fractional coordinates of all 5 atoms:
C: 0.5000 0.5000 0.5000
Bi: 0.0000 0.0000 0.0000
Ga: 0.0000 0.5000 0.0000
Ga: 0.0000 0.0000 0.5000
Ga: 0.5000 0.0000 0.0000

Results
DFT formation energy: 1.99 eV/atom
theoretical density: 4.0 g/cm³
symmetry: No. 221
energy: -25.55 eV per atom

3.
Compound: GeBiH8C2S4N
Source: Alexandria
Functional: SCAN
Structure: PBEsol geometry

abc: 6.6674 6.8299 10.6446
angles: 90.00 104.56 90.00
Fractional coordinates of all 34 atoms:
Ge: 0.2253 0.1974 0.3476
Ge: 0.7747 0.6974 0.6524
Bi: 0.2361 0.7658 0.5364
Bi: 0.7639 0.2658 0.4636
H: 0.2616 0.7646 0.2105
H: 0.7384 0.2646 0.7895
H: 0.3381 0.5346 0.1792
H: 0.6619 0.0346 0.8208
H: 0.6316 0.7243 0.2033
H: 0.3684 0.2243 0.7967
H: 0.5326 0.6825 0.0308
H: 0.4674 0.1825 0.9692
H: 0.4901 0.9138 0.1029
H: 0.5099 0.4138 0.8971
H: 0.9921 0.6425 0.0512
H: 0.0079 0.1425 0.9488
H: 0.1232 0.8168 0.9733
H: 0.8768 0.3168 0.0267
H: 0.1651 0.5607 0.9559
H: 0.8349 0.0607 0.0441
C: 0.5042 0.7543 0.1173
C: 0.4958 0.2543 0.8827
C: 0.1363 0.6742 0.0227
C: 0.8637 0.1742 0.9773
S: 0.0330 0.9308 0.3022
S: 0.9670 0.4308 0.6978
S: 0.0175 0.4541 0.3377
S: 0.9825 0.9541 0.6623
S: 0.4428 0.2443 0.2263
S: 0.5572 0.7443 0.7737
S: 0.5933 0.6320 0.4486
S: 0.4067 0.1320 0.5514
N: 0.3090 0.6794 0.1405
N: 0.6910 0.1794 0.8595

Results
theoretical density: 3.2 g/cm³
symmetry: No. 4
energy: -11.66 eV per atom

4.
Compound: GeBi2RhC
Source: Alexandria
Functional: SCAN
Structure: PBEsol geometry

abc: 3.7662 5.0738 5.0738
angles: 90.00 90.00 90.00
Fractional coordinates of all 5 atoms:
C: 0.0000 0.0000 0.0000
Ge: 0.5000 0.0000 0.0000
Rh: 0.5000 0.5000 0.5000
Bi: 0.0000 0.0000 0.5000
Bi: 0.0000 0.5000 0.0000

Results
DFT formation energy: 1.09 eV/atom
theoretical density: 10.4 g/cm³
symmetry: No. 123
energy: -42.94 eV per atom

5.
Compound: KBiH10C4O13
Source: Alexandria
Functional: SCAN
Structure: PBEsol geometry

abc: 8.7033 9.2782 9.4766
angles: 77.56 62.66 62.03
Fractional coordinates of all 58 atoms:
K: 0.6556 0.6888 0.5000
K: 0.4056 0.1888 0.0000
Bi: 0.1599 0.6802 0.5000
Bi: 0.9099 0.1802 0.0000
H: 0.3517 0.1077 0.5011
H: 0.5406 0.1077 0.4989
H: 0.2895 0.6077 0.0011
H: 0.1028 0.6077 0.9989
H: 0.6554 0.4113 0.7479
H: 0.9333 0.4113 0.2521
H: 0.4354 0.9113 0.2479
H: 0.6533 0.9113 0.7521
H: 0.4371 0.4725 0.7840
H: 0.0904 0.4725 0.2160
H: 0.5564 0.9725 0.2840
H: 0.4711 0.9725 0.7160
H: 0.4589 0.7781 0.9177
H: 0.7630 0.7781 0.0823
H: 0.0953 0.2781 0.4177
H: 0.6266 0.2781 0.5823
H: 0.5699 0.5898 0.9350
H: 0.8402 0.5898 0.0650
H: 0.1553 0.0898 0.4350
H: 0.7549 0.0898 0.5650
C: 0.1191 0.4037 0.7627
C: 0.4772 0.4037 0.2373
C: 0.9645 0.9037 0.2627
C: 0.1318 0.9037 0.7373
C: 0.9316 0.4736 0.7401
C: 0.5948 0.4736 0.2599
C: 0.1047 0.9736 0.2401
C: 0.9217 0.9736 0.7599
O: 0.9078 0.5850 0.6393
O: 0.5072 0.5850 0.3607
O: 0.1179 0.0850 0.1393
O: 0.7971 0.0850 0.8607
O: 0.2381 0.4622 0.6777
O: 0.2997 0.4622 0.3223
O: 0.8720 0.9622 0.1777
O: 0.1658 0.9622 0.8223
O: 0.8104 0.4156 0.8266
O: 0.7741 0.4156 0.1734
O: 0.1975 0.9156 0.3266
O: 0.8870 0.9156 0.6734
O: 0.1421 0.2932 0.8654
O: 0.5646 0.2932 0.1346
O: 0.9492 0.7932 0.3654
O: 0.2575 0.7932 0.6346
O: 0.4819 0.0362 0.5000
O: 0.2319 0.5362 0.0000
O: 0.5690 0.4283 0.6991
O: 0.0026 0.4283 0.3009
O: 0.5535 0.9283 0.1991
O: 0.5182 0.9283 0.8009
O: 0.4440 0.6815 0.9850
O: 0.8745 0.6815 0.0150
O: 0.1394 0.1815 0.4850
O: 0.6791 0.1815 0.5150

Results
theoretical density: 2.8 g/cm³
symmetry: No. 43
energy: -9.57 eV per atom

6.
Compound: HgBiC2
Source: Alexandria
Functional: SCAN
Structure: PBEsol geometry

abc: 4.4429 4.4429 4.4429
angles: 60.00 60.00 60.00
Fractional coordinates of all 4 atoms:
C: 0.2500 0.2500 0.2500
C: 0.7500 0.7500 0.7500
Bi: 0.5000 0.5000 0.5000
Hg: 0.0000 0.0000 0.0000

Results
DFT formation energy: 2.61 eV/atom
theoretical density: 11.6 g/cm³
symmetry: No. 225
energy: -39.13 eV per atom

7.
Compound: Bi2CI
Source: Alexandria
Functional: SCAN
Structure: PBEsol geometry

abc: 6.5145 6.5145 6.5145
angles: 109.34 109.53 109.53
Fractional coordinates of all 8 atoms:
I: 0.0000 0.0000 0.0000
I: 0.5000 0.7500 0.2500
C: 0.0000 0.5000 0.5000
C: 0.5000 0.2500 0.7500
Bi: 0.8985 0.5235 0.1250
Bi: 0.1015 0.2265 0.6250
Bi: 0.6015 0.3750 0.4765
Bi: 0.3985 0.8750 0.7735

Results
theoretical density: 8.7 g/cm³
symmetry: No. 122
formation energy from raw total energies: 1.009 eV/atom
energy: -49.99 eV per atom

8.
Compound: BiCIN2
Source: Alexandria
Functional: SCAN
Structure: PBEsol geometry

abc: 4.1712 4.1712 4.2827
angles: 90.00 90.00 90.00
Fractional coordinates of all 5 atoms:
I: 0.0000 0.0000 0.5000
C: 0.0000 0.0000 0.0000
Bi: 0.5000 0.5000 0.5000
N: 0.0000 0.5000 0.0000
N: 0.5000 0.0000 0.0000

Results
theoretical density: 8.4 g/cm³
symmetry: No. 123
formation energy from raw total energies: 2.600 eV/atom
energy: -26.20 eV per atom

9.
Compound: BiSbCI2
Source: Alexandria
Functional: SCAN
Structure: PBEsol geometry

abc: 6.1101 6.0177 6.0177
angles: 90.00 90.00 90.00
Fractional coordinates of all 5 atoms:
I: 0.0000 0.0000 0.5000
I: 0.0000 0.5000 0.0000
Sb: 0.5000 0.0000 0.0000
C: 0.5000 0.5000 0.5000
Bi: 0.0000 0.0000 0.0000

Results
theoretical density: 4.5 g/cm³
symmetry: No. 123
formation energy from raw total energies: 1.782 eV/atom
energy: -38.10 eV per atom

10.
Compound: In3BiC
Source: Alexandria
Functional: SCAN
Structure: PBEsol geometry

abc: 4.7929 4.7929 4.7929
angles: 90.00 90.00 90.00
Fractional coordinates of all 5 atoms:
C: 0.0000 0.0000 0.0000
Bi: 0.5000 0.5000 0.5000
In: 0.0000 0.5000 0.0000
In: 0.0000 0.0000 0.5000
In: 0.5000 0.0000 0.0000

Results
DFT formation energy: 0.68 eV/atom
theoretical density: 8.5 g/cm³
symmetry: No. 221
energy: -37.09 eV per atom

11.
Compound: KInBiC2
Source: Alexandria
Functional: SCAN
Structure: PBEsol geometry

abc: 4.5541 4.5541 5.7214
angles: 90.00 90.00 90.00
Fractional coordinates of all 5 atoms:
C: 0.0000 0.5000 0.0000
C: 0.5000 0.0000 0.0000
K: 0.5000 0.5000 0.5000
Bi: 0.0000 0.0000 0.5000
In: 0.0000 0.0000 0.0000

Results
DFT formation energy: 2.11 eV/atom
theoretical density: 5.4 g/cm³
symmetry: No. 123
energy: -25.99 eV per atom

12.
Compound: Bi3IrC
Source: Alexandria
Functional: SCAN
Structure: PBEsol geometry

abc: 4.7442 4.7442 4.7442
angles: 90.00 90.00 90.00
Fractional coordinates of all 5 atoms:
C: 0.0000 0.0000 0.0000
Ir: 0.5000 0.5000 0.5000
Bi: 0.0000 0.5000 0.0000
Bi: 0.0000 0.0000 0.5000
Bi: 0.5000 0.0000 0.0000

Results
DFT formation energy: 1.52 eV/atom
theoretical density: 12.9 g/cm³
symmetry: No. 221
energy: -61.87 eV per atom

13.
Compound: BiIrC3
Source: Alexandria
Functional: SCAN
Structure: PBEsol geometry

abc: 4.0473 4.0473 4.0473
angles: 90.00 90.00 90.00
Fractional coordinates of all 5 atoms:
C: 0.0000 0.5000 0.0000
C: 0.0000 0.0000 0.5000
C: 0.5000 0.0000 0.0000
Ir: 0.0000 0.0000 0.0000
Bi: 0.5000 0.5000 0.5000

Results
DFT formation energy: 2.14 eV/atom
theoretical density: 11.0 g/cm³
symmetry: No. 221
energy: -33.86 eV per atom

14.
Compound: BiIrC2
Source: Alexandria
Functional: SCAN
Structure: PBEsol geometry

abc: 5.2619 5.9317 5.2619
angles: 63.67 90.00 116.33
Fractional coordinates of all 8 atoms:
C: 0.5420 0.7500 0.3750
C: 0.2080 0.7500 0.8750
C: 0.8750 0.2500 0.5420
C: 0.3750 0.2500 0.2080
Ir: 0.2500 0.5000 0.2500
Ir: 0.5000 0.0000 0.5000
Bi: 0.7500 0.5000 0.7500
Bi: 0.0000 0.0000 0.0000

Results
DFT formation energy: 1.18 eV/atom
theoretical density: 11.0 g/cm³
symmetry: No. 122
energy: -41.29 eV per atom

15.
Compound: K2LiBiC
Source: Alexandria
Functional: SCAN
Structure: PBEsol geometry

abc: 4.4806 6.8651 6.8651
angles: 90.00 90.00 90.00
Fractional coordinates of all 5 atoms:
C: 0.5000 0.0000 0.0000
K: 0.0000 0.0000 0.5000
K: 0.0000 0.5000 0.0000
Bi: 0.0000 0.0000 0.0000
Li: 0.5000 0.5000 0.5000

Results
DFT formation energy: 0.96 eV/atom
theoretical density: 2.4 g/cm³
symmetry: No. 123
energy: -20.58 eV per atom

16.
Compound: Li2BiC
Source: Alexandria
Functional: SCAN
Structure: PBEsol geometry

abc: 3.7565 3.7565 8.8484
angles: 102.26 102.26 90.00
Fractional coordinates of all 8 atoms:
C: 0.7500 0.2500 0.5000
C: 0.5000 0.5000 0.0000
Bi: 0.2500 0.7500 0.5000
Bi: 0.0000 0.0000 0.0000
Li: 0.4518 0.3750 0.2500
Li: 0.7982 0.8750 0.2500
Li: 0.6250 0.2018 0.7500
Li: 0.1250 0.5482 0.7500

Results
DFT formation energy: 0.77 eV/atom
theoretical density: 6.5 g/cm³
symmetry: No. 122
energy: -22.59 eV per atom

17.
Compound: LiScBi2C
Source: Alexandria
Functional: SCAN
Structure: PBEsol geometry

abc: 4.2386 5.5730 5.5730
angles: 90.00 90.00 90.00
Fractional coordinates of all 5 atoms:
Sc: 0.0000 0.0000 0.0000
C: 0.5000 0.0000 0.0000
Bi: 0.0000 0.0000 0.5000
Bi: 0.0000 0.5000 0.0000
Li: 0.5000 0.5000 0.5000

Results
DFT formation energy: 0.70 eV/atom
theoretical density: 6.1 g/cm³
symmetry: No. 123
energy: -36.07 eV per atom

18.
Compound: Mg2BiC
Source: Alexandria
Functional: SCAN
Structure: PBEsol geometry

abc: 4.7429 4.7429 4.7429
angles: 60.00 60.00 60.00
Fractional coordinates of all 4 atoms:
C: 0.0000 0.0000 0.0000
Mg: 0.2500 0.2500 0.2500
Mg: 0.7500 0.7500 0.7500
Bi: 0.5000 0.5000 0.5000

Results
DFT formation energy: 1.04 eV/atom
theoretical density: 5.9 g/cm³
symmetry: No. 225
energy: -23.62 eV per atom

19.
Compound: MgTa2BiC
Source: Alexandria
Functional: SCAN
Structure: PBEsol geometry

abc: 4.4412 5.2337 5.2337
angles: 90.00 90.00 90.00
Fractional coordinates of all 5 atoms:
C: 0.5000 0.0000 0.0000
Mg: 0.5000 0.5000 0.5000
Bi: 0.0000 0.0000 0.0000
Ta: 0.0000 0.0000 0.5000
Ta: 0.0000 0.5000 0.0000

Results
DFT formation energy: 2.75 eV/atom
theoretical density: 8.3 g/cm³
symmetry: No. 123
energy: -42.61 eV per atom

20.
Compound: Mn3BiC
Source: Alexandria
Functional: SCAN
Structure: PBEsol geometry

abc: 3.8947 3.8947 3.8947
angles: 90.00 90.00 90.00
Fractional coordinates of all 5 atoms:
C: 0.0000 0.0000 0.0000
Mn: 0.0000 0.5000 0.0000
Mn: 0.0000 0.0000 0.5000
Mn: 0.5000 0.0000 0.0000
Bi: 0.5000 0.5000 0.5000

Results
DFT formation energy: 0.26 eV/atom
theoretical density: 10.8 g/cm³
symmetry: No. 221
energy: -28.43 eV per atom